# 1
# PrErSe PBE-GGA relaxed
# ΔE_f (raw) = -1002 meV per atom
# Energy relative to the lowest polymorph listed for this composition = 0.082 eV/atom
# Mass density = 8.2 g/cm3
# Electronic total energy = -5.2773 eV/atom
data_PrErSe
_symmetry_space_group_name_H-M 'P 1'
_symmetry_Int_Tables_number 1
_cell_length_a 4.312
_cell_length_b 4.312
_cell_length_c 8.465
_cell_angle_alpha 90.00
_cell_angle_beta 90.00
_cell_angle_gamma 90.00
loop_
_symmetry_equiv_pos_as_xyz
'x,y,z'
loop_
_atom_site_label
_atom_site_type_symbol
_atom_site_fract_x
_atom_site_fract_y
_atom_site_fract_z
Pr1 Pr 0.000 0.500 0.860
Pr2 Pr 0.500 0.000 0.140
Er1 Er 0.000 0.000 0.500
Er2 Er 0.500 0.500 0.500
Se1 Se 0.000 0.500 0.238
Se2 Se 0.500 0.000 0.762

# 2
# PrEr2Se5 PBE-GGA relaxed
# ΔE_f (raw) = -1631 meV per atom
# Mass density = 7.5 g/cm3
# Electronic total energy = -5.5473 eV/atom
data_PrEr2Se5
_symmetry_space_group_name_H-M 'P 1'
_symmetry_Int_Tables_number 1
_cell_length_a 7.636
_cell_length_b 7.636
_cell_length_c 8.542
_cell_angle_alpha 116.55
_cell_angle_beta 116.55
_cell_angle_gamma 90.00
loop_
_symmetry_equiv_pos_as_xyz
'x,y,z'
loop_
_atom_site_label
_atom_site_type_symbol
_atom_site_fract_x
_atom_site_fract_y
_atom_site_fract_z
Se1 Se 0.510 0.701 0.711
Se2 Se 0.500 0.500 0.000
Se3 Se 0.000 0.000 0.000
Se4 Se 0.990 0.490 0.289
Se5 Se 0.010 0.510 0.711
Se6 Se 0.201 0.010 0.711
Se7 Se 0.490 0.299 0.289
Se8 Se 0.799 0.990 0.289
Se9 Se 0.701 0.201 0.711
Se10 Se 0.299 0.799 0.289
Er1 Er 0.656 0.156 0.000
Er2 Er 0.844 0.656 0.000
Er3 Er 0.156 0.344 0.000
Er4 Er 0.344 0.844 0.000
Pr1 Pr 0.250 0.250 0.500
Pr2 Pr 0.750 0.750 0.500

# 3
# PrEr2Se4 PBE-GGA relaxed
# ΔE_f (raw) = -1853 meV per atom
# Energy relative to the lowest polymorph listed for this composition = 0.005 eV/atom
# Mass density = 7.1 g/cm3
# Electronic total energy = -5.8308 eV/atom
data_PrEr2Se4
_symmetry_space_group_name_H-M 'P 1'
_symmetry_Int_Tables_number 1
_cell_length_a 4.020
_cell_length_b 12.505
_cell_length_c 14.754
_cell_angle_alpha 90.00
_cell_angle_beta 90.00
_cell_angle_gamma 90.00
loop_
_symmetry_equiv_pos_as_xyz
'x,y,z'
loop_
_atom_site_label
_atom_site_type_symbol
_atom_site_fract_x
_atom_site_fract_y
_atom_site_fract_z
Se1 Se 0.750 0.461 0.784
Se2 Se 0.250 0.901 0.924
Se3 Se 0.750 0.099 0.076
Se4 Se 0.750 0.599 0.424
Se5 Se 0.750 0.871 0.459
Se6 Se 0.250 0.039 0.284
Se7 Se 0.250 0.200 0.825
Se8 Se 0.250 0.129 0.541
Se9 Se 0.750 0.961 0.716
Se10 Se 0.250 0.629 0.959
Se11 Se 0.750 0.800 0.175
Se12 Se 0.250 0.700 0.675
Se13 Se 0.750 0.371 0.041
Se14 Se 0.250 0.539 0.216
Se15 Se 0.250 0.401 0.576
Se16 Se 0.750 0.300 0.325
Er1 Er 0.750 0.057 0.888
Er2 Er 0.250 0.407 0.908
Er3 Er 0.750 0.593 0.092
Er4 Er 0.250 0.943 0.112
Er5 Er 0.750 0.557 0.612
Er6 Er 0.250 0.907 0.592
Er7 Er 0.750 0.093 0.408
Er8 Er 0.250 0.443 0.388
Pr1 Pr 0.250 0.256 0.172
Pr2 Pr 0.750 0.244 0.672
Pr3 Pr 0.250 0.756 0.328
Pr4 Pr 0.750 0.744 0.828